YZr2AlO after structural relaxation, computed with GGA-PBE.

Cell lengths 4.4639, 4.4639, 4.7499 Å; angles 90.00, 90.00, 90.00 degrees
With the nearest neighbours (Å) after each atom.
Element x y z (fractional)
Y1 0.0000 0.0000 0.5000  2 O 2.37
O1 0.0000 0.0000 0.0000  4 Zr 2.23, 2 Y 2.37
Al1 0.5000 0.5000 0.5000  4 Y 3.16, 8 Zr 3.26
Zr1 0.0000 0.5000 0.0000  2 O 2.23
Zr2 0.5000 0.0000 0.0000  2 O 2.23

Results
space group	P4/mmm (123)
theoretical density	5.51	g/cm³
V	94.6	Å³/cell
ΔE_f (raw)	-1.18	eV per atom


YbAlO3 after structural relaxation, computed with GGA-PBE.

Cell lengths 3.4342, 3.4342, 11.6681 Å; angles 90.00, 90.00, 120.00 degrees
With the nearest neighbours (Å) after each atom.
Element x y z (fractional)
Yb1 0.0000 0.0000 0.0000  6 O 2.27
Yb2 0.0000 0.0000 0.5000  6 O 2.27
Al1 0.3333 0.6667 0.2500  5 O 1.82-1.98
Al2 0.6667 0.3333 0.7500  5 O 1.82-1.98
O1 0.3333 0.6667 0.0939  1 Al 1.82
O2 0.3333 0.6667 0.4061  1 Al 1.82
O3 0.0000 0.0000 0.2500  3 Al 1.98
O4 0.0000 0.0000 0.7500  3 Al 1.98
O5 0.6667 0.3333 0.9061  1 Al 1.82
O6 0.6667 0.3333 0.5939  1 Al 1.82

Results
space group	P6_3/mmc (194)
theoretical density	6.91	g/cm³
V	119.2	Å³/cell
ΔE_f (raw)	-2.84	eV per atom


YbAlO3 after structural relaxation, computed with GGA-PBE.

Cell lengths 3.7292, 3.7292, 3.7292 Å; angles 90.00, 90.00, 90.00 degrees
With the nearest neighbours (Å) after each atom.
Element x y z (fractional)
Yb1 0.5000 0.5000 0.5000  12 O 2.64
Al1 0.0000 0.0000 0.0000  6 O 1.86
O1 0.5000 0.0000 0.0000  2 Al 1.86
O2 0.0000 0.0000 0.5000  2 Al 1.86
O3 0.0000 0.5000 0.0000  2 Al 1.86

Results
space group	Pm-3m (221)
theoretical density	7.94	g/cm³
V	51.9	Å³/cell
ΔE_f (raw)	-2.84	eV per atom


Yb2Al2O5 after structural relaxation, computed with GGA-PBE.

Cell lengths 3.7287, 3.7287, 7.3627 Å; angles 90.00, 90.00, 90.00 degrees
With the nearest neighbours (Å) after each atom.
Element x y z (fractional)
Yb1 0.0000 0.0000 0.0000  8 O 2.47
Yb2 0.0000 0.0000 0.5000  12 O 2.64-2.78
Al1 0.5000 0.5000 0.2549  5 O 1.80-1.88
Al2 0.5000 0.5000 0.7451  5 O 1.80-1.88
O1 0.5000 0.0000 0.2201  2 Al 1.88
O2 0.5000 0.0000 0.7799  2 Al 1.88
O3 0.5000 0.5000 0.5000  2 Al 1.80
O4 0.0000 0.5000 0.2201  2 Al 1.88
O5 0.0000 0.5000 0.7799  2 Al 1.88

Results
space group	P4/mmm (123)
theoretical density	7.79	g/cm³
V	102.4	Å³/cell
ΔE_f (raw)	-2.89	eV per atom